# SrUPd2S4 | Alexandria | PBE | relaxed
data_SrUPd2S4
_space_group_name_H-M_alt 'P 1'
_space_group_IT_number 1
_cell_length_a 6.069
_cell_length_b 6.069
_cell_length_c 6.069
_cell_angle_alpha 113.29
_cell_angle_beta 112.31
_cell_angle_gamma 103.00
loop_
_space_group_symop_operation_xyz
'x,y,z'
loop_
_atom_site_label
_atom_site_fract_x
_atom_site_fract_y
_atom_site_fract_z
Sr1 0.000 0.000 0.000
U1 0.500 0.500 0.000
Pd1 0.283 0.783 0.500
Pd2 0.717 0.217 0.500
S1 0.056 0.060 0.546
S2 0.485 0.940 0.995
S3 0.515 0.510 0.454
S4 0.944 0.490 0.005
# ΔE_f (raw) in meV per atom: -1010.0
# Fermi-level density of states in states/eV/atom: 0.89
# Raw total energy in eV/atom: -5.993

# SrUPdS4 | Alexandria | PBE | relaxed
data_SrUPdS4
_space_group_name_H-M_alt 'P 1'
_space_group_IT_number 1
_cell_length_a 6.640
_cell_length_b 5.789
_cell_length_c 8.315
_cell_angle_alpha 90.00
_cell_angle_beta 108.22
_cell_angle_gamma 90.00
loop_
_space_group_symop_operation_xyz
'x,y,z'
loop_
_atom_site_label
_atom_site_fract_x
_atom_site_fract_y
_atom_site_fract_z
Sr1 0.244 0.250 0.443
Sr2 0.756 0.750 0.557
U1 0.242 0.250 0.940
U2 0.758 0.750 0.060
Pd1 0.275 0.750 0.182
Pd2 0.725 0.250 0.818
S1 0.048 0.750 0.899
S2 0.052 0.750 0.361
S3 0.458 0.526 0.778
S4 0.458 0.974 0.778
S5 0.542 0.026 0.222
S6 0.542 0.474 0.222
S7 0.948 0.250 0.639
S8 0.952 0.250 0.101
# ΔE_f (raw) in meV per atom: -1212.2
# Fermi-level density of states in states/eV/atom: 0.75
# Raw total energy in eV/atom: -6.165

- Among the records above, which one has the highest raw total energy?
  SrUPd2S4